Record 1
DFT (GGA-PBEsol) results for a relaxed structure of YCdB3.

Cell: 4.2898 4.2898 4.2898 Å, 90.00 90.00 90.00°
Element x y z (fractional)
B  0.5000  0.0000  0.0000
Cd  0.0000  0.0000  0.0000
B  0.0000  0.0000  0.5000
Y  0.5000  0.5000  0.5000
B  0.0000  0.5000  0.0000

Computed properties:
Total energy   -4.310 eV per atom
Density of states at the Fermi level   2.44 states/eV/f.u.
ρ   4.917 g/cm3
ΔH_f (0 K)   1504 meV/atom
Magnetic moment   0.00 μB per cell

=====

Record 2
DFT (GGA-PBEsol) results for a relaxed structure of YCdB.

Cell: 4.2667 4.2667 4.2667 Å, 60.00 60.00 60.00°
Element x y z (fractional)
Cd  0.0000  0.0000  0.0000
Y  0.5000  0.5000  0.5000
B  0.7500  0.7500  0.7500

Computed properties:
Total energy   -5.135 eV per atom
ρ   6.413 g/cm3
ΔH_f (0 K)   -123 meV/atom
Magnetic moment   0.00 μB per cell

=====

Record 3
DFT (GGA-PBEsol) results for a relaxed structure of Zn2CdB.

Cell: 4.3430 4.3430 4.3430 Å, 60.00 60.00 60.00°
Element x y z (fractional)
Cd  0.5000  0.5000  0.5000
Zn  0.7500  0.7500  0.7500
B  0.0000  0.0000  0.0000
Zn  0.2500  0.2500  0.2500

Computed properties:
Total energy   -1.977 eV per atom
Density of states at the Fermi level   1.66 states/eV/f.u.
ρ   7.283 g/cm3
ΔH_f (0 K)   867 meV/atom
Magnetic moment   0.00 μB per cell

=====

Record 4
DFT (GGA-PBEsol) results for a relaxed structure of CeB6.

Cell: 4.0886 4.0886 4.0886 Å, 90.00 90.00 90.00°
Last column: magnetic moment on the atom in μB.
Element x y z (fractional)
B  0.6983  0.0000  0.0000  0.00
B  0.3017  0.0000  0.0000  0.00
B  0.0000  0.0000  0.6983  0.00
Ce  0.5000  0.5000  0.5000  0.56
B  0.0000  0.0000  0.3017  0.00
B  0.0000  0.6983  0.0000  0.00
B  0.0000  0.3017  0.0000  0.00

Computed properties:
Total energy   -7.472 eV per atom
Density of states at the Fermi level   4.25 states/eV/f.u.
ρ   4.980 g/cm3
ΔH_f (0 K)   -515 meV/atom
Magnetic moment   0.65 μB per cell

=====

Record 5
DFT (GGA-PBEsol) results for a relaxed structure of Ce3Co11B4.

Cell: 4.9364 4.9364 9.7397 Å, 90.00 90.00 120.00°
Last column: magnetic moment on the atom in μB.
Element x y z (fractional)
B  0.6667  0.3333  0.3498  -0.20
Co  0.0000  0.5000  0.5000  0.32
Co  0.5000  0.5000  0.5000  0.08
Ce  0.0000  0.0000  0.6618  -0.01
B  0.6667  0.3333  0.6502  1.26
Co  0.5000  0.0000  0.5000  0.08
Co  0.0000  0.5000  0.2028  1.26
Co  0.6667  0.3333  0.0000  -0.01
Co  0.3333  0.6667  0.0000  0.08
Co  0.5000  0.5000  0.7972  0.32
Co  0.5000  0.0000  0.7972  0.32
Co  0.5000  0.5000  0.2028  0.32
Co  0.5000  0.0000  0.2028  0.32
Ce  0.0000  0.0000  0.0000  -0.01
B  0.3333  0.6667  0.6502  -0.45
B  0.3333  0.6667  0.3498  -0.20
Ce  0.0000  0.0000  0.3382  -0.01
Co  0.0000  0.5000  0.7972  0.32

Computed properties:
Total energy   -7.802 eV per atom
Density of states at the Fermi level   15.98 states/eV/f.u.
ρ   8.983 g/cm3
ΔH_f (0 K)   -415 meV/atom
Magnetic moment   3.57 μB per cell

=====

Record 6
DFT (GGA-PBEsol) results for a relaxed structure of CeCo4B4.

Cell: 4.9881 4.9881 6.9494 Å, 90.00 90.00 90.00°
Element x y z (fractional)
Ce  0.5000  0.5000  0.0000
B  0.5000  0.1749  0.6604
Ce  0.0000  0.0000  0.5000
B  0.1749  0.5000  0.3396
B  0.0000  0.6749  0.8396
Co  0.2489  0.0000  0.8644
Co  0.7489  0.5000  0.6356
Co  0.5000  0.7489  0.3644
Co  0.5000  0.2511  0.3644
Co  0.7511  0.0000  0.8644
B  0.8251  0.5000  0.3396
Co  0.0000  0.2489  0.1356
B  0.5000  0.8251  0.6604
Co  0.0000  0.7511  0.1356
B  0.0000  0.3251  0.8396
B  0.6749  0.0000  0.1604
Co  0.2511  0.5000  0.6356
B  0.3251  0.0000  0.1604

Computed properties:
Total energy   -7.823 eV per atom
Density of states at the Fermi level   6.87 states/eV/f.u.
ρ   8.050 g/cm3
ΔH_f (0 K)   -533 meV/atom
Magnetic moment   0.00 μB per cell

=====

Record 7
DFT (GGA-PBEsol) results for a relaxed structure of Ce2Co5B2.

Cell: 5.0072 5.0072 19.5863 Å, 90.00 90.00 120.00°
Element x y z (fractional)
B  0.6667  0.3333  0.3253
Ce  0.3333  0.6667  0.3283
B  0.0000  0.0000  0.6768
Co  0.8327  0.6654  0.2500
Ce  0.6667  0.3333  0.5190
Co  0.0000  0.0000  0.0000
Ce  0.6667  0.3333  0.6717
Co  0.6739  0.8369  0.6046
Co  0.6739  0.8369  0.8954
Co  0.8369  0.1631  0.1046
Co  0.8327  0.1673  0.2500
Co  0.3261  0.1631  0.3954
Co  0.1631  0.8369  0.8954
B  0.0000  0.0000  0.1768
B  0.0000  0.0000  0.8232
Ce  0.3333  0.6667  0.0190
Ce  0.3333  0.6667  0.4810
Ce  0.6667  0.3333  0.9810
Co  0.1631  0.3261  0.6046
Ce  0.6667  0.3333  0.8283
Co  0.0000  0.0000  0.5000
Co  0.6654  0.8327  0.7500
Co  0.1673  0.8327  0.7500
B  0.0000  0.0000  0.3232
Ce  0.3333  0.6667  0.1717
Co  0.8369  0.6739  0.1046
Co  0.1631  0.3261  0.8954
Co  0.8369  0.1631  0.3954
Co  0.8369  0.6739  0.3954
B  0.3333  0.6667  0.6747
B  0.6667  0.3333  0.1747
Co  0.3346  0.1673  0.2500
B  0.3333  0.6667  0.8253
Co  0.3261  0.1631  0.1046
Co  0.1631  0.8369  0.6046
Co  0.1673  0.3346  0.7500

Computed properties:
Total energy   -7.809 eV per atom
Density of states at the Fermi level   5.80 states/eV/f.u.
ρ   9.317 g/cm3
ΔH_f (0 K)   -486 meV/atom
Magnetic moment   0.00 μB per cell

=====

Record 8
DFT (GGA-PBEsol) results for a relaxed structure of CeCr2B6.

Cell: 3.0426 5.4663 5.4663 Å, 72.41 73.84 73.84°
Element x y z (fractional)
B  0.3034  0.4593  0.9339
B  0.3034  0.9339  0.4593
B  0.6966  0.0661  0.5407
B  0.5000  0.6422  0.3578
Cr  0.1543  0.3457  0.3457
Ce  0.0000  0.0000  0.0000
Cr  0.8457  0.6543  0.6543
B  0.6966  0.5407  0.0661
B  0.5000  0.3578  0.6422

Computed properties:
Total energy   -8.359 eV per atom
Density of states at the Fermi level   3.71 states/eV/f.u.
ρ   6.307 g/cm3
ΔH_f (0 K)   -672 meV/atom
Magnetic moment   0.00 μB per cell

=====

Record 9
DFT (GGA-PBEsol) results for a relaxed structure of CeCrB4.

Cell: 3.4983 5.9293 11.4657 Å, 90.00 90.00 90.00°
Last column: magnetic moment on the atom in μB.
Element x y z (fractional)
Ce  0.0000  0.8763  0.8490  0.01
B  0.5000  0.1124  0.5458  -0.01
B  0.5000  0.2215  0.8169  0.00
B  0.5000  0.7785  0.1831  0.00
B  0.5000  0.2785  0.3169  0.00
B  0.5000  0.6124  0.9542  -0.01
B  0.5000  0.0254  0.6900  0.00
Cr  0.0000  0.3773  0.9188  0.24
B  0.5000  0.1398  0.9667  0.00
Cr  0.0000  0.8773  0.5812  0.24
Ce  0.0000  0.3763  0.6510  0.01
B  0.5000  0.3876  0.0458  -0.01
B  0.5000  0.5254  0.8100  0.00
B  0.5000  0.3602  0.4667  0.00
Ce  0.0000  0.1237  0.1510  0.01
Cr  0.0000  0.6227  0.0812  0.24
B  0.5000  0.8602  0.0333  0.00
B  0.5000  0.9746  0.3100  0.00
Cr  0.0000  0.1227  0.4188  0.24
B  0.5000  0.6398  0.5333  0.00
B  0.5000  0.8876  0.4542  -0.01
Ce  0.0000  0.6237  0.3490  0.01
B  0.5000  0.7215  0.6831  0.00
B  0.5000  0.4746  0.1900  0.00

Computed properties:
Total energy   -8.114 eV per atom
Density of states at the Fermi level   3.12 states/eV/f.u.
ρ   6.573 g/cm3
ΔH_f (0 K)   -630 meV/atom
Magnetic moment   0.95 μB per cell

=====

Record 10
DFT (GGA-PBEsol) results for a relaxed structure of CeEuB12.

Cell: 4.1079 5.8113 5.8113 Å, 90.00 90.00 90.00°
Last column: magnetic moment on the atom in μB.
Element x y z (fractional)
B  0.5000  0.6500  0.1506  0.00
Eu  0.0000  0.0000  0.0000  6.69
B  0.8004  0.0000  0.5000  0.00
B  0.5000  0.8494  0.3500  0.00
B  0.5000  0.3500  0.8494  0.00
B  0.8004  0.5000  0.0000  0.00
B  0.5000  0.8494  0.6500  0.00
Ce  0.0000  0.5000  0.5000  0.66
B  0.1996  0.5000  0.0000  0.00
B  0.5000  0.3500  0.1506  0.00
B  0.5000  0.1506  0.3500  0.00
B  0.5000  0.1506  0.6500  0.00
B  0.1996  0.0000  0.5000  0.00
B  0.5000  0.6500  0.8494  0.00

Computed properties:
Total energy   -7.749 eV per atom
Density of states at the Fermi level   8.45 states/eV/f.u.
ρ   5.049 g/cm3
ΔH_f (0 K)   -509 meV/atom
Magnetic moment   7.58 μB per cell

=====

Record 11
DFT (GGA-PBEsol) results for a relaxed structure of CeB2Ir2.

Cell: 5.5118 5.5118 6.0852 Å, 105.24 105.24 114.82°
Last column: magnetic moment on the atom in μB.
Element x y z (fractional)
Ir  0.1214  0.6214  0.2428  0.01
Ce  0.7500  0.2500  0.5000  0.65
Ir  0.3786  0.8786  0.7572  0.01
Ir  0.8714  0.8714  0.7428  0.01
B  0.4308  0.5692  0.5000  0.00
B  0.1808  0.8192  0.0000  0.00
Ce  0.5000  0.5000  0.0000  0.65
B  0.0692  0.9308  0.5000  0.00
B  0.8192  0.1808  0.0000  0.00
Ir  0.1286  0.1286  0.2572  0.01

Computed properties:
Total energy   -8.739 eV per atom
Density of states at the Fermi level   5.20 states/eV/f.u.
ρ   12.384 g/cm3
ΔH_f (0 K)   -684 meV/atom
Magnetic moment   1.62 μB per cell

=====

Record 12
DFT (GGA-PBEsol) results for a relaxed structure of CeB2Ir3.

Cell: 3.1114 5.4573 5.4573 Å, 120.00 90.00 90.00°
Last column: magnetic moment on the atom in μB.
Element x y z (fractional)
B  0.0000  0.6667  0.3333  0.00
B  0.0000  0.3333  0.6667  0.00
Ir  0.5000  0.5000  0.0000  0.43
Ir  0.5000  0.5000  0.5000  -0.02
Ce  0.0000  0.0000  0.0000  -0.02
Ir  0.5000  0.0000  0.5000  -0.02

Computed properties:
Total energy   -9.026 eV per atom
Density of states at the Fermi level   3.71 states/eV/f.u.
ρ   15.279 g/cm3
ΔH_f (0 K)   -677 meV/atom
Magnetic moment   0.45 μB per cell